# 1
DFT (GGA-PBE) results for crystalline Tb3Sm3Ho5 at its relaxed geometry.

Cell and atoms, written as POSCAR:
```
Tb3Sm3Ho5
1.0
9.6394 0.0000 0.0000
-4.8197 8.3480 0.0000
0.0000 0.0000 5.4817
Tb Sm Ho
3 3 5
Direct
0.0000 0.4497 0.0000
0.4497 0.0000 0.0000
0.5503 0.5503 0.0000
0.0000 0.6341 0.5000
0.3659 0.3659 0.5000
0.6341 0.0000 0.5000
0.0000 0.2694 0.5000
0.2694 0.0000 0.5000
0.3333 0.6667 0.5000
0.6667 0.3333 0.5000
0.7306 0.7306 0.5000
```

---

# 2
DFT (GGA-PBE) results for crystalline ZnCo2W at its relaxed geometry.

Cell and atoms, written as POSCAR:
```
ZnCo2W
1.0
4.1602 -1.3246 0.0000
4.1602 1.3246 0.0000
-0.6888 0.0000 4.6777
Zn Co W
1 2 1
Direct
0.0000 0.0000 0.0000
0.2509 0.2509 0.7439
0.7491 0.7491 0.2561
0.5000 0.5000 0.5000
```

---

| no. | formation energy from the elements (eV/atom) | DOS at the Fermi energy (states/eV per atom) |
| --- | --- | --- |
| 1 | 0.811 | 1.597 |
| 2 | 0.177 | 0.920 |